A relaxed Tb2Ge3Ir3 crystal. Source: Alexandria, functional GGA-PBE.

Structure (CIF):
```
data_Tb2Ge3Ir3
_chemical_formula_sum 'Tb2 Ge3 Ir3'
_cell_length_a 2.857
_cell_length_b 2.857
_cell_length_c 20.681
_cell_angle_alpha 90.00
_cell_angle_beta 90.00
_cell_angle_gamma 90.00
_symmetry_space_group_name_H-M 'P 1'
_symmetry_Int_Tables_number 1
loop_
_symmetry_equiv_pos_as_xyz
'x,y,z'
loop_
_atom_site_label
_atom_site_type_symbol
_atom_site_fract_x
_atom_site_fract_y
_atom_site_fract_z
Tb1 Tb 0.500 0.500 0.758
Tb2 Tb 0.500 0.500 0.242
Ge1 Ge 0.500 0.500 0.384
Ge2 Ge 0.500 0.500 0.616
Ge3 Ge 0.500 0.500 0.000
Ir1 Ir 0.500 0.500 0.116
Ir2 Ir 0.500 0.500 0.884
Ir3 Ir 0.500 0.500 0.500
```

## Properties
SG: P4/mmm (123)
energy of formation from the pure elements: 63.6 kJ per mole of atoms
final energy: -5.55 eV/atom